! ZrNi5 | Alexandria via LeMat-Bulk | PBEsol | optimized geometry; values from VASP
! Uncorrected energy   -6.984 eV per atom
&SYSTEM
  ibrav = 0, nat = 6, ntyp = 2
/
ATOMIC_SPECIES
Zr 91.22 Zr.upf
Ni 58.69 Ni.upf
CELL_PARAMETERS angstrom
0.000 3.301 3.301
3.301 0.000 3.301
3.301 3.301 0.000
ATOMIC_POSITIONS angstrom
Zr 0.000 0.000 0.000
Ni 2.483 2.483 2.483
Ni 4.119 4.119 2.483
Ni 4.119 2.483 4.119
Ni 4.951 4.951 4.951
Ni 2.483 4.119 4.119



! ZnFeAu2 | Alexandria via LeMat-Bulk | PBEsol | optimized geometry; values from VASP
! Uncorrected energy   -4.545 eV per atom
&SYSTEM
  ibrav = 0, nat = 8, ntyp = 3
/
ATOMIC_SPECIES
Zn 65.41 Zn.upf
Fe 55.84 Fe.upf
Au 196.97 Au.upf
CELL_PARAMETERS angstrom
3.897 0.000 0.000
0.000 3.897 0.000
0.000 0.000 7.833
ATOMIC_POSITIONS angstrom
Zn 0.000 0.000 0.000
Zn 1.949 1.949 3.917
Fe 0.000 1.949 5.875
Fe 1.949 0.000 1.958
Au 0.000 0.000 3.917
Au 0.000 1.949 1.958
Au 1.949 0.000 5.875
Au 1.949 1.949 0.000



! SbH36S4N11 | Alexandria via LeMat-Bulk | PBEsol | optimized geometry; values from VASP
! Uncorrected energy   -4.907 eV per atom
&SYSTEM
  ibrav = 0, nat = 104, ntyp = 4
/
ATOMIC_SPECIES
Sb 121.76 Sb.upf
H 1.01 H.upf
S 32.06 S.upf
N 14.01 N.upf
CELL_PARAMETERS angstrom
8.442 0.000 0.000
0.000 12.646 0.000
-1.941 0.000 9.231
ATOMIC_POSITIONS angstrom
Sb 1.196 0.000 2.972
Sb 5.305 6.323 6.258
H -0.919 2.363 4.447
H -0.122 6.827 0.750
H 0.088 3.967 0.041
H -0.152 2.961 1.334
H -0.576 9.641 3.475
H -0.801 12.087 5.853
H 0.005 4.866 2.440
H -1.029 1.610 7.545
H -0.244 4.509 4.105
H 0.540 6.045 3.613
H -0.602 1.383 9.134
H 0.179 2.667 5.609
H 1.359 3.371 0.945
H 0.254 9.039 6.609
H 0.538 5.542 6.549
H 0.171 6.468 8.923
H 1.961 5.458 0.985
H 0.448 12.320 8.407
H 1.558 8.227 3.430
H 1.076 10.316 5.873
H 1.503 7.612 4.947
H 1.086 10.754 7.959
H 2.698 11.199 0.386
H 2.660 6.939 1.180
H 1.823 4.705 5.629
H 1.491 4.253 7.241
H 2.447 3.235 3.745
H 1.787 1.879 7.160
H 1.919 9.090 6.634
H 2.706 7.130 3.940
H 1.759 2.194 8.794
H 2.163 5.819 6.915
H 3.532 9.157 1.404
H 3.046 9.883 4.213
H 2.109 11.903 8.791
H 3.220 4.714 3.898
H 3.281 11.037 5.333
H 4.393 5.580 0.439
H 3.456 3.559 5.018
H 2.970 2.834 7.827
H 4.339 12.142 2.315
H 4.742 8.517 0.436
H 3.796 0.807 5.290
H 4.582 2.766 2.597
H 4.714 8.202 2.070
H 4.055 9.558 5.486
H 5.010 10.576 1.989
H 4.679 11.029 3.601
H 3.841 0.616 8.051
H 3.803 4.876 8.844
H 5.415 4.430 1.271
H 4.998 1.289 4.284
H 5.426 3.992 3.357
H 4.943 1.904 5.801
H 6.053 5.997 0.824
H 4.541 11.781 8.245
H 6.331 0.145 0.307
H 5.963 11.866 2.681
H 6.247 2.716 2.622
H 5.142 9.694 8.286
H 6.322 8.990 3.622
H 7.104 7.706 0.097
H 5.962 12.368 5.618
H 6.746 10.833 5.126
H 7.531 7.934 1.685
H 6.497 11.189 6.791
H 7.302 5.764 3.377
H 7.078 3.318 5.755
H 6.654 9.284 7.897
H 6.413 10.290 9.190
H 6.624 0.503 8.480
H 7.420 8.687 4.784
S -1.021 7.129 6.861
S 1.378 10.425 2.183
S 1.428 0.120 5.308
S 2.869 1.300 1.958
S 3.632 7.623 7.272
S 5.073 6.443 3.923
S 5.123 4.102 7.047
S 7.522 0.806 2.370
N -0.598 3.100 5.096
N -0.203 5.307 3.382
N 0.409 3.766 1.002
N -0.893 0.898 8.270
N 1.067 9.671 6.678
N 1.694 7.356 3.969
N 2.596 6.137 0.545
N 1.482 5.092 6.591
N 1.116 11.547 8.701
N 1.965 2.604 7.873
N 2.726 3.969 4.414
N 3.775 10.292 4.817
N 4.536 8.927 1.358
N 5.386 5.223 0.529
N 5.019 11.415 2.640
N 3.906 12.460 8.686
N 4.808 1.033 5.261
N 5.434 3.348 2.552
N 7.395 7.221 0.960
N 6.092 10.090 8.228
N 6.704 11.630 5.848
N 7.099 9.423 4.135



! Li2ZnPt | Alexandria via LeMat-Bulk | PBEsol | optimized geometry; values from VASP
! Uncorrected energy   -3.541 eV per atom
&SYSTEM
  ibrav = 0, nat = 4, ntyp = 3
/
ATOMIC_SPECIES
Li 6.94 Li.upf
Zn 65.41 Zn.upf
Pt 195.08 Pt.upf
CELL_PARAMETERS angstrom
2.733 0.000 0.000
0.000 3.837 0.000
0.000 0.000 5.330
ATOMIC_POSITIONS angstrom
Li 0.000 0.000 0.000
Li 1.366 1.919 1.420
Zn 1.366 1.919 3.897
Pt 0.000 0.000 2.699



! NbGa3Br | Alexandria via LeMat-Bulk | PBEsol | optimized geometry; values from VASP
! Uncorrected energy   -3.973 eV per atom
&SYSTEM
  ibrav = 0, nat = 5, ntyp = 3
/
ATOMIC_SPECIES
Nb 92.91 Nb.upf
Ga 69.72 Ga.upf
Br 79.90 Br.upf
CELL_PARAMETERS angstrom
5.135 0.000 0.000
0.000 5.135 0.000
0.000 0.000 5.135
ATOMIC_POSITIONS angstrom
Nb 0.000 0.000 0.000
Ga 0.000 0.000 2.567
Ga 0.000 2.567 0.000
Ga 2.567 0.000 0.000
Br 2.567 2.567 2.567



! TaTlSn3 | Alexandria via LeMat-Bulk | PBEsol | optimized geometry; values from VASP
! Uncorrected energy   -5.289 eV per atom
&SYSTEM
  ibrav = 0, nat = 5, ntyp = 3
/
ATOMIC_SPECIES
Ta 180.95 Ta.upf
Tl 204.38 Tl.upf
Sn 118.71 Sn.upf
CELL_PARAMETERS angstrom
5.341 0.000 0.000
0.000 5.341 0.000
0.000 0.000 5.341
ATOMIC_POSITIONS angstrom
Ta 0.000 0.000 0.000
Tl 2.671 2.671 2.671
Sn 0.000 0.000 2.671
Sn 0.000 2.671 0.000
Sn 2.671 0.000 0.000



! BeHg2PtN | Alexandria via LeMat-Bulk | PBEsol | optimized geometry; values from VASP
! Uncorrected energy   -2.935 eV per atom
&SYSTEM
  ibrav = 0, nat = 5, ntyp = 4
/
ATOMIC_SPECIES
Be 9.01 Be.upf
Hg 200.59 Hg.upf
Pt 195.08 Pt.upf
N 14.01 N.upf
CELL_PARAMETERS angstrom
5.210 0.000 0.000
0.000 5.210 0.000
0.000 0.000 4.241
ATOMIC_POSITIONS angstrom
Be 0.000 0.000 0.000
Hg 0.000 2.605 2.121
Hg 2.605 0.000 2.121
Pt 0.000 0.000 2.121
N 2.605 2.605 0.000



! OsAuSe4 | Alexandria via LeMat-Bulk | PBEsol | optimized geometry; values from VASP
! Uncorrected energy   -3.878 eV per atom
&SYSTEM
  ibrav = 0, nat = 6, ntyp = 3
/
ATOMIC_SPECIES
Os 190.23 Os.upf
Au 196.97 Au.upf
Se 78.96 Se.upf
CELL_PARAMETERS angstrom
0.000 3.837 3.837
3.837 0.000 3.837
3.837 3.837 0.000
ATOMIC_POSITIONS angstrom
Os 0.000 0.000 0.000
Au 5.756 5.756 5.756
Se 2.876 2.876 2.876
Se 4.798 4.798 2.876
Se 4.798 2.876 4.798
Se 2.876 4.798 4.798



! Ho | Alexandria via LeMat-Bulk | PBEsol | optimized geometry; values from VASP
! Offset from the most stable computed form   0 meV/atom
&SYSTEM
  ibrav = 0, nat = 9, ntyp = 1
/
ATOMIC_SPECIES
Ho 164.93 Ho.upf
CELL_PARAMETERS angstrom
3.473 0.000 0.000
-1.737 3.008 0.000
0.000 0.000 24.953
ATOMIC_POSITIONS angstrom
Ho 0.000 0.000 0.000
Ho 0.000 0.000 5.545
Ho 0.000 0.000 19.408
Ho 0.000 2.005 11.091
Ho 0.000 2.005 16.635
Ho 0.000 2.005 22.180
Ho 1.737 1.003 2.773
Ho 1.737 1.003 8.318
Ho 1.737 1.003 13.862



! NiAsP2 | Alexandria via LeMat-Bulk | PBEsol | optimized geometry; values from VASP
! Uncorrected energy   -5.354 eV per atom
&SYSTEM
  ibrav = 0, nat = 8, ntyp = 3
/
ATOMIC_SPECIES
Ni 58.69 Ni.upf
As 74.92 As.upf
P 30.97 P.upf
CELL_PARAMETERS angstrom
4.569 0.000 0.000
0.000 4.569 0.000
0.000 0.000 5.268
ATOMIC_POSITIONS angstrom
Ni 0.000 0.000 0.000
Ni 2.285 2.285 2.634
As 0.000 2.285 1.317
As 2.285 0.000 3.951
P 0.000 0.000 2.634
P 0.000 2.285 3.951
P 2.285 0.000 1.317
P 2.285 2.285 0.000



! Sc6Al16Pd7 | Alexandria via LeMat-Bulk | PBEsol | optimized geometry; values from VASP
! Uncorrected energy   -5.811 eV per atom
&SYSTEM
  ibrav = 0, nat = 29, ntyp = 3
/
ATOMIC_SPECIES
Sc 44.96 Sc.upf
Al 26.98 Al.upf
Pd 106.42 Pd.upf
CELL_PARAMETERS angstrom
0.000 6.176 6.176
6.176 0.000 6.176
6.176 6.176 0.000
ATOMIC_POSITIONS angstrom
Sc 6.176 6.176 2.357
Sc 6.176 2.357 6.176
Sc 9.995 6.176 6.176
Sc 2.357 6.176 6.176
Sc 6.176 9.995 6.176
Sc 6.176 6.176 9.995
Al 7.662 4.690 4.690
Al 2.034 2.034 2.034
Al 4.143 4.143 2.034
Al 4.143 2.034 4.143
Al 4.690 4.690 4.690
Al 7.662 7.662 4.690
Al 7.662 4.690 7.662
Al 10.319 8.210 8.210
Al 2.034 4.143 4.143
Al 4.690 7.662 4.690
Al 4.690 4.690 7.662
Al 7.662 7.662 7.662
Al 8.210 10.319 8.210
Al 8.210 8.210 10.319
Al 10.319 10.319 10.319
Al 4.690 7.662 7.662
Pd 3.088 3.088 0.000
Pd 3.088 0.000 3.088
Pd 6.176 3.088 3.088
Pd 0.000 3.088 3.088
Pd 3.088 6.176 3.088
Pd 3.088 3.088 6.176
Pd 6.176 6.176 6.176



! Mo3P | Alexandria via LeMat-Bulk | PBEsol | optimized geometry; values from VASP
! Offset from the most stable computed form   339 meV/atom
&SYSTEM
  ibrav = 0, nat = 4, ntyp = 2
/
ATOMIC_SPECIES
Mo 95.94 Mo.upf
P 30.97 P.upf
CELL_PARAMETERS angstrom
3.130 0.000 0.000
0.000 3.130 0.000
0.000 0.000 5.831
ATOMIC_POSITIONS angstrom
Mo 0.000 0.000 0.000
Mo 1.565 1.565 1.543
Mo 1.565 1.565 4.287
P 0.000 0.000 2.915



! Y2AlPt | Alexandria via LeMat-Bulk | PBEsol | optimized geometry; values from VASP
! Uncorrected energy   -6.976 eV per atom
&SYSTEM
  ibrav = 0, nat = 4, ntyp = 3
/
ATOMIC_SPECIES
Y 88.91 Y.upf
Al 26.98 Al.upf
Pt 195.08 Pt.upf
CELL_PARAMETERS angstrom
3.540 0.000 0.000
0.000 3.540 0.000
0.000 0.000 6.868
ATOMIC_POSITIONS angstrom
Y 0.000 0.000 1.622
Y 0.000 0.000 5.246
Al 1.770 1.770 3.434
Pt 1.770 1.770 0.000



! Mn2CdPt | Alexandria via LeMat-Bulk | PBEsol | optimized geometry; values from VASP
! Uncorrected energy   -6.684 eV per atom
&SYSTEM
  ibrav = 0, nat = 12, ntyp = 3
/
ATOMIC_SPECIES
Mn 54.94 Mn.upf
Cd 112.41 Cd.upf
Pt 195.08 Pt.upf
CELL_PARAMETERS angstrom
2.869 0.000 0.000
-1.435 2.485 0.000
0.000 0.000 26.380
ATOMIC_POSITIONS angstrom
Mn 0.000 0.000 6.467
Mn 0.000 0.000 19.913
Mn 0.000 1.656 11.119
Mn 0.000 1.656 24.054
Mn 1.435 0.828 2.326
Mn 1.435 0.828 15.260
Cd 0.000 0.000 0.000
Cd 0.000 1.656 17.587
Cd 1.435 0.828 8.793
Pt 0.000 0.000 13.190
Pt 0.000 1.656 4.397
Pt 1.435 0.828 21.983



! BaGa2H2 | Alexandria via LeMat-Bulk | PBEsol | optimized geometry; values from VASP
! Uncorrected energy   -3.560 eV per atom
&SYSTEM
  ibrav = 0, nat = 5, ntyp = 3
/
ATOMIC_SPECIES
Ba 137.33 Ba.upf
Ga 69.72 Ga.upf
H 1.01 H.upf
CELL_PARAMETERS angstrom
4.485 0.000 0.000
-2.243 3.884 0.000
0.000 0.000 4.785
ATOMIC_POSITIONS angstrom
Ba 0.000 0.000 0.000
Ga 0.000 2.590 2.250
Ga 2.243 1.295 2.536
H 0.000 2.590 0.565
H 2.243 1.295 4.220



! K2Sb4S7 | Alexandria via LeMat-Bulk | PBEsol | optimized geometry; values from VASP
! Uncorrected energy   -4.497 eV per atom
&SYSTEM
  ibrav = 0, nat = 26, ntyp = 3
/
ATOMIC_SPECIES
K 39.10 K.upf
Sb 121.76 Sb.upf
S 32.06 S.upf
CELL_PARAMETERS angstrom
5.021 -3.928 0.000
5.021 3.928 0.000
-1.774 0.000 17.415
ATOMIC_POSITIONS angstrom
K 1.308 0.937 3.585
K 0.421 -0.937 12.293
K 7.847 0.937 5.123
K 6.960 -0.937 13.831
Sb 0.912 0.226 8.204
Sb 0.025 -0.226 16.911
Sb 4.293 0.980 6.684
Sb 4.862 0.980 2.024
Sb 3.406 -0.980 15.392
Sb 3.975 -0.980 10.732
Sb 8.242 0.226 0.504
Sb 7.356 -0.226 9.212
S 3.594 2.977 2.704
S 2.069 2.007 6.519
S 3.055 2.286 16.744
S 4.325 2.286 9.379
S 5.561 2.977 6.003
S 7.085 2.007 2.189
S 3.690 0.048 13.062
S 4.577 -0.048 4.354
S 1.183 -2.007 15.226
S 2.707 -2.977 11.412
S 3.942 -2.286 8.036
S 5.212 -2.286 0.672
S 6.198 -2.007 10.897
S 4.674 -2.977 14.711



! Mg2FeOs | Alexandria via LeMat-Bulk | PBEsol | optimized geometry; values from VASP
! Offset from the most stable computed form   96 meV/atom
&SYSTEM
  ibrav = 0, nat = 4, ntyp = 3
/
ATOMIC_SPECIES
Mg 24.30 Mg.upf
Fe 55.84 Fe.upf
Os 190.23 Os.upf
CELL_PARAMETERS angstrom
2.673 0.000 0.000
0.000 2.673 0.000
0.000 0.000 8.327
ATOMIC_POSITIONS angstrom
Mg 0.000 0.000 2.034
Mg 0.000 0.000 6.294
Fe 1.336 1.336 0.000
Os 1.336 1.336 4.164



! Ce2Re2Si2C | Alexandria via LeMat-Bulk | PBEsol | optimized geometry; values from VASP
! Uncorrected energy   -9.266 eV per atom
&SYSTEM
  ibrav = 0, nat = 14, ntyp = 4
/
ATOMIC_SPECIES
Ce 140.12 Ce.upf
Re 186.21 Re.upf
Si 28.09 Si.upf
C 12.01 C.upf
CELL_PARAMETERS angstrom
10.886 0.000 0.000
0.000 4.056 0.000
-4.234 0.000 5.465
ATOMIC_POSITIONS angstrom
Ce -0.484 0.000 1.626
Ce 1.693 2.028 3.838
Ce 4.959 2.028 1.626
Ce 7.136 0.000 3.838
Re 1.880 2.028 0.508
Re -0.671 0.000 4.957
Re 7.323 0.000 0.508
Re 4.772 2.028 4.957
Si -1.346 2.028 3.730
Si 2.555 0.000 1.735
Si 4.097 0.000 3.730
Si 7.998 2.028 1.735
C 0.000 2.028 0.000
C 5.443 0.000 0.000



! CaTl5 | Alexandria via LeMat-Bulk | PBEsol | optimized geometry; values from VASP
! Uncorrected energy   -2.718 eV per atom
&SYSTEM
  ibrav = 0, nat = 12, ntyp = 2
/
ATOMIC_SPECIES
Ca 40.08 Ca.upf
Tl 204.38 Tl.upf
CELL_PARAMETERS angstrom
11.195 0.000 0.000
0.000 4.649 0.000
-2.723 0.000 6.314
ATOMIC_POSITIONS angstrom
Ca 0.000 0.000 0.000
Ca 5.597 2.325 0.000
Tl -1.362 0.000 3.157
Tl -0.398 2.325 5.256
Tl 0.997 2.325 2.139
Tl 1.878 0.000 4.175
Tl 3.273 0.000 1.058
Tl 4.236 2.325 3.157
Tl 5.199 0.000 5.256
Tl 6.594 0.000 2.139
Tl 7.475 2.325 4.175
Tl 8.870 2.325 1.058



! PbW | Alexandria via LeMat-Bulk | PBEsol | optimized geometry; values from VASP
! Uncorrected energy   -7.737 eV per atom
&SYSTEM
  ibrav = 0, nat = 16, ntyp = 2
/
ATOMIC_SPECIES
Pb 207.20 Pb.upf
W 183.84 W.upf
CELL_PARAMETERS angstrom
6.835 0.000 0.000
0.000 6.835 0.000
0.000 0.000 6.835
ATOMIC_POSITIONS angstrom
Pb 0.854 0.854 0.854
Pb 0.854 4.272 4.272
Pb 2.563 2.563 5.981
Pb 2.563 5.981 2.563
Pb 4.272 0.854 4.272
Pb 4.272 4.272 0.854
Pb 5.981 2.563 2.563
Pb 5.981 5.981 5.981
W 0.854 0.854 4.272
W 0.854 4.272 0.854
W 2.563 2.563 2.563
W 2.563 5.981 5.981
W 4.272 0.854 0.854
W 4.272 4.272 4.272
W 5.981 2.563 5.981
W 5.981 5.981 2.563